CsCa2NiF8 (GGA+U, relaxed); raw total energy = -4.811 eV per atom; total magnetization = 0.99 μB/f.u.
1.0
5.316 0.000 0.000
1.000 5.270 0.000
0.479 2.587 6.663
Cs Ca Ni F
1 2 1 8
direct
0.000 0.000 0.000 Cs
0.466 0.387 0.280 Ca
0.534 0.613 0.720 Ca
0.000 0.000 0.500 Ni
0.040 0.293 0.273 F
0.270 0.714 0.425 F
0.275 0.060 0.607 F
0.445 0.282 0.995 F
0.555 0.718 0.005 F
0.725 0.940 0.393 F
0.730 0.286 0.575 F
0.960 0.707 0.727 F